DFT (PBE-GGA) results for a relaxed structure of TbFePd.

Output
Calculated total energy: -0.22147 Ha/atom
Total magnetization: 10.8 Bohr magnetons per cell

Cell lengths 6.304, 6.304, 6.304 Å; angles 90.00, 90.00, 90.00 degrees
Fractional positions:
Tb 0.000 0.000 0.000
Tb 0.000 0.500 0.500
Tb 0.500 0.000 0.500
Tb 0.500 0.500 0.000
Fe 0.000 0.000 0.500
Fe 0.000 0.500 0.000
Fe 0.500 0.000 0.000
Fe 0.500 0.500 0.500
Pd 0.250 0.250 0.750
Pd 0.250 0.750 0.250
Pd 0.750 0.250 0.250
Pd 0.750 0.750 0.750